{
  "formula": "Na7AlH2C4O12F4",
  "functional": "PBE",
  "state": "optimized geometry",
  "e_tot_ev_per_atom": -6.11,
  "spacegroup": "P-1, No. 2",
  "lattice": [[6.561, 0.000, 0.000], [3.259, 5.950, 0.000], [1.105, 0.999, 8.761]],
  "species": ["Na", "Na", "Na", "Na", "Na", "Na", "Na", "Al", "H", "H", "C", "C", "C", "C", "O", "O", "O", "O", "O", "O", "O", "O", "O", "O", "O", "O", "F", "F", "F", "F"],
  "frac_coords": [[0.000, 0.000, 0.000], [0.000, 0.500, 0.000], [0.341, 0.382, 0.644], [0.341, 0.888, 0.642], [0.500, 0.500, 0.000], [0.659, 0.112, 0.358], [0.659, 0.618, 0.356], [0.500, 0.000, 0.000], [0.004, 0.737, 0.495], [0.996, 0.263, 0.505], [0.178, 0.613, 0.300], [0.187, 0.111, 0.285], [0.813, 0.889, 0.715], [0.822, 0.387, 0.700], [0.023, 0.762, 0.660], [0.025, 0.268, 0.618], [0.162, 0.634, 0.157], [0.218, 0.111, 0.136], [0.356, 0.993, 0.373], [0.362, 0.492, 0.373], [0.638, 0.508, 0.627], [0.644, 0.007, 0.627], [0.782, 0.889, 0.864], [0.838, 0.366, 0.843], [0.975, 0.732, 0.382], [0.977, 0.238, 0.340], [0.359, 0.894, 0.892], [0.365, 0.284, 0.894], [0.635, 0.716, 0.106], [0.641, 0.106, 0.108]]
}

---

{
  "formula": "Pr2CuSn4",
  "functional": "PBE",
  "state": "optimized geometry",
  "formation_enthalpy_0k_ev_per_atom": -0.574,
  "spacegroup": "Amm2, No. 38",
  "lattice": [[4.483, 0.000, 0.000], [0.000, 4.489, 0.000], [0.000, 0.000, 18.335]],
  "species": ["Pr", "Pr", "Pr", "Pr", "Cu", "Cu", "Sn", "Sn", "Sn", "Sn", "Sn", "Sn", "Sn", "Sn"],
  "frac_coords": [[0.000, 0.000, 0.000], [0.000, 0.500, 0.500], [0.500, 0.000, 0.211], [0.500, 0.500, 0.711], [0.000, 0.000, 0.783], [0.000, 0.500, 0.283], [0.000, 0.000, 0.363], [0.000, 0.000, 0.645], [0.000, 0.500, 0.145], [0.000, 0.500, 0.863], [0.500, 0.000, 0.544], [0.500, 0.000, 0.862], [0.500, 0.500, 0.044], [0.500, 0.500, 0.362]]
}

---

{
  "formula": "ReTcSe",
  "functional": "PBE",
  "state": "optimized geometry",
  "formation_energy_uncorrected_ev_per_atom": 0.29,
  "spacegroup": "P-6m2, No. 187",
  "polymorph_energy_ev_per_atom": 0.114,
  "lattice": [[2.918, 0.000, 0.000], [-1.459, 2.527, 0.000], [0.000, 0.000, 12.416]],
  "species": ["Re", "Re", "Tc", "Tc", "Se", "Se"],
  "frac_coords": [[0.000, 0.000, 0.170], [0.000, 0.000, 0.830], [0.333, 0.667, 0.000], [0.333, 0.667, 0.500], [0.667, 0.333, 0.342], [0.667, 0.333, 0.658]]
}

---

{
  "formula": "SrAc3In8",
  "functional": "PBE",
  "state": "optimized geometry",
  "formation_enthalpy_0k_ev_per_atom": -0.411,
  "spacegroup": "R3m, No. 160",
  "lattice": [[3.143, 1.815, 10.398], [-3.143, 1.815, 10.398], [0.000, -3.630, 10.398]],
  "species": ["Sr", "Ac", "Ac", "Ac", "In", "In", "In", "In", "In", "In", "In", "In"],
  "frac_coords": [[0.000, 0.000, 0.000], [0.123, 0.123, 0.123], [0.500, 0.500, 0.500], [0.626, 0.626, 0.626], [0.062, 0.062, 0.561], [0.062, 0.561, 0.062], [0.063, 0.562, 0.562], [0.312, 0.312, 0.312], [0.561, 0.062, 0.062], [0.562, 0.063, 0.562], [0.562, 0.562, 0.063], [0.812, 0.812, 0.812]]
}

---

{
  "formula": "Ce2NpRhN4",
  "functional": "PBE",
  "state": "optimized geometry",
  "formation_energy_uncorrected_ev_per_atom": -0.95,
  "spacegroup": "Cmcm, No. 63",
  "lattice": [[1.692, -5.809, 0.000], [1.692, 5.809, 0.000], [0.000, 0.000, 11.741]],
  "species": ["Ce", "Ce", "Ce", "Ce", "Np", "Np", "Rh", "Rh", "N", "N", "N", "N", "N", "N", "N", "N"],
  "frac_coords": [[0.130, 0.870, 0.558], [0.130, 0.870, 0.942], [0.870, 0.130, 0.058], [0.870, 0.130, 0.442], [0.385, 0.615, 0.750], [0.615, 0.385, 0.250], [0.348, 0.652, 0.250], [0.652, 0.348, 0.750], [0.019, 0.981, 0.750], [0.215, 0.785, 0.126], [0.215, 0.785, 0.374], [0.500, 0.500, 0.000], [0.500, 0.500, 0.500], [0.785, 0.215, 0.626], [0.785, 0.215, 0.874], [0.981, 0.019, 0.250]]
}

---

{
  "formula": "NaGaBi",
  "functional": "PBE",
  "state": "optimized geometry",
  "formation_enthalpy_0k_ev_per_atom": -0.080,
  "spacegroup": "P3m1, No. 156",
  "polymorph_energy_ev_per_atom": 0.091,
  "lattice": [[4.645, 0.000, 0.000], [-2.323, 4.023, 0.000], [0.000, 0.000, 4.634]],
  "species": ["Na", "Ga", "Bi"],
  "frac_coords": [[0.000, 0.000, 0.000], [0.333, 0.667, 0.658], [0.667, 0.333, 0.428]]
}

---

{
  "formula": "LaTmHg4",
  "functional": "PBE",
  "state": "optimized geometry",
  "formation_enthalpy_0k_ev_per_atom": -0.369,
  "spacegroup": "C2/m, No. 12",
  "polymorph_energy_ev_per_atom": 0.000,
  "lattice": [[10.471, 0.000, 0.000], [0.000, 3.927, 0.000], [-2.881, 0.000, 7.659]],
  "species": ["La", "La", "Tm", "Tm", "Hg", "Hg", "Hg", "Hg", "Hg", "Hg", "Hg", "Hg"],
  "frac_coords": [[0.000, 0.000, 0.000], [0.500, 0.500, 0.000], [0.000, 0.000, 0.500], [0.500, 0.500, 0.500], [0.165, 0.500, 0.812], [0.169, 0.500, 0.348], [0.331, 0.000, 0.652], [0.335, 0.000, 0.188], [0.665, 0.000, 0.812], [0.669, 0.000, 0.348], [0.831, 0.500, 0.652], [0.835, 0.500, 0.188]]
}

---

{
  "formula": "K2SrTcO6",
  "functional": "PBE",
  "state": "optimized geometry",
  "formation_energy_uncorrected_ev_per_atom": -1.56,
  "spacegroup": "P-3m1, No. 164",
  "lattice": [[6.320, 0.000, 0.000], [-3.160, 5.473, 0.000], [0.000, 0.000, 6.265]],
  "species": ["K", "K", "Sr", "Tc", "O", "O", "O", "O", "O", "O"],
  "frac_coords": [[0.333, 0.667, 0.082], [0.667, 0.333, 0.918], [0.000, 0.000, 0.500], [0.000, 0.000, 0.000], [0.139, 0.279, 0.819], [0.139, 0.861, 0.819], [0.279, 0.139, 0.181], [0.721, 0.861, 0.819], [0.861, 0.139, 0.181], [0.861, 0.721, 0.181]]
}

---

{
  "formula": "NaCoBr2Cl",
  "functional": "PBE",
  "state": "optimized geometry",
  "formation_energy_uncorrected_ev_per_atom": -0.69,
  "spacegroup": "P4/mmm, No. 123",
  "lattice": [[5.262, 0.000, 0.000], [0.000, 5.262, 0.000], [0.000, 0.000, 4.542]],
  "species": ["Na", "Co", "Br", "Br", "Cl"],
  "frac_coords": [[0.000, 0.000, 0.000], [0.500, 0.500, 0.500], [0.000, 0.500, 0.500], [0.500, 0.000, 0.500], [0.500, 0.500, 0.000]]
}

---

{
  "formula": "Rb3TeF",
  "functional": "PBE",
  "state": "optimized geometry",
  "formation_energy_uncorrected_ev_per_atom": -1.10,
  "spacegroup": "I-4m2, No. 119",
  "polymorph_energy_ev_per_atom": 0.576,
  "lattice": [[-3.327, 3.327, 12.439], [3.327, -3.327, 12.439], [3.327, 3.327, -12.439]],
  "species": ["Rb", "Rb", "Rb", "Rb", "Rb", "Rb", "Te", "Te", "F", "F"],
  "frac_coords": [[0.202, 0.202, 0.000], [0.373, 0.617, 0.756], [0.383, 0.138, 0.756], [0.383, 0.627, 0.244], [0.798, 0.798, 0.000], [0.862, 0.617, 0.244], [0.250, 0.750, 0.500], [0.500, 0.500, 0.000], [0.659, 0.159, 0.500], [0.841, 0.341, 0.500]]
}

---

{
  "formula": "Ca2AgPb2",
  "functional": "PBE",
  "state": "optimized geometry",
  "formation_enthalpy_0k_ev_per_atom": -0.421,
  "spacegroup": "C2/m, No. 12",
  "polymorph_energy_ev_per_atom": 0.000,
  "lattice": [[5.812, -2.400, 0.000], [5.812, 2.400, 0.000], [-5.005, 0.000, 10.397]],
  "species": ["Ca", "Ca", "Ca", "Ca", "Ag", "Ag", "Pb", "Pb", "Pb", "Pb"],
  "frac_coords": [[0.012, 0.012, 0.333], [0.178, 0.178, 0.107], [0.822, 0.822, 0.893], [0.988, 0.988, 0.667], [0.285, 0.285, 0.672], [0.715, 0.715, 0.328], [0.352, 0.352, 0.439], [0.464, 0.464, 0.116], [0.536, 0.536, 0.884], [0.648, 0.648, 0.561]]
}

---

{
  "formula": "KMgPS2",
  "functional": "PBE",
  "state": "optimized geometry",
  "formation_energy_uncorrected_ev_per_atom": 1.15,
  "spacegroup": "P4/mmm, No. 123",
  "polymorph_energy_ev_per_atom": 1.217,
  "lattice": [[5.350, 0.000, 0.000], [0.000, 5.350, 0.000], [0.000, 0.000, 5.180]],
  "species": ["K", "Mg", "P", "S", "S"],
  "frac_coords": [[0.000, 0.000, 0.000], [0.500, 0.500, 0.500], [0.000, 0.000, 0.500], [0.000, 0.500, 0.000], [0.500, 0.000, 0.000]]
}